Record 1
## Y4GaCu3 (PBE)

Data for a relaxed Y4GaCu3 crystal.

Calculated volume (A^3/atom): 21.65
VASP energy (eV/atom): -5.481
Spin magnetization (μB per formula unit): 0.0
Energy relative to the lowest polymorph listed for this composition (kJ/mol of atoms): 0.00

a = 4.9611 Å, b = 4.9611 Å, c = 24.3774 Å
α = 90.00°, β = 90.00°, γ = 120.00°
With the nearest neighbours (Å) after each atom.
Space group R-3m (No. 166, hexagonal axes)
Inequivalent atoms, fractional coordinates:
Y: 0.0000 0.0000 0.1224  5 Cu 2.98-3.06, 3 Ga 3.06
Y: 0.0000 0.0000 0.3728  7 Cu 3.02-3.08, 1 Ga 3.10
Ga: 0.0000 0.0000 0.5000  8 Y 3.06-3.10
Cu: 0.0000 0.0000 0.0000  8 Y 2.98-3.02
Cu: 0.0000 0.0000 0.2479  8 Y 3.00-3.08

Record 2
## Al2Cd2Ag (PBE)

Data for a relaxed Al2Cd2Ag crystal.

Calculated volume (A^3/atom): 21.05
VASP energy (eV/atom): -2.221
Spin magnetization (μB per formula unit): 0.0
Energy relative to the lowest polymorph listed for this composition (kJ/mol of atoms): 8.23

a = 3.8855 Å, b = 3.8855 Å, c = 13.9462 Å
α = 90.00°, β = 90.00°, γ = 90.00°
With the nearest neighbours (Å) after each atom.
Space group I4/mmm (No. 139)
Inequivalent atoms, fractional coordinates:
Al: 0.0000 0.5000 0.2500  4 Al 2.75, 4 Cd 2.86
Cd: 0.0000 0.0000 0.0999  1 Cd 2.79, 4 Al 2.86, 4 Ag 3.08
Ag: 0.0000 0.0000 0.5000  8 Cd 3.08

Record 3
## ReAgP2 (PBE)

Data for a relaxed ReAgP2 crystal.

Calculated volume (A^3/atom): 15.24
VASP energy (eV/atom): -5.545
Spin magnetization (μB per formula unit): 0.0
Energy relative to the lowest polymorph listed for this composition (kJ/mol of atoms): 92.55

a = 6.2473 Å, b = 6.2473 Å, c = 6.2473 Å
α = 90.00°, β = 90.00°, γ = 90.00°
With the nearest neighbours (Å) after each atom.
Space group F-43m (No. 216)
Inequivalent atoms, fractional coordinates:
Re: 0.0000 0.0000 0.0000  4 P 2.71, 4 Ag 2.71
Ag: 0.2500 0.2500 0.7500  4 Re 2.71, 4 P 2.71
P: 0.0000 0.0000 0.5000  4 Ag 2.71, 4 P 2.71
P: 0.2500 0.2500 0.2500  4 Re 2.71, 4 P 2.71

Record 4
## CaAu (PBE)

Data for a relaxed CaAu crystal.

Calculated volume (A^3/atom): 26.02
VASP energy (eV/atom): -3.287
Spin magnetization (μB per formula unit): 0.0

a = 9.1500 Å, b = 9.1500 Å, c = 4.9720 Å
α = 90.00°, β = 90.00°, γ = 90.00°
With the nearest neighbours (Å) after each atom.
Space group I4/mmm (No. 139)
Inequivalent atoms, fractional coordinates:
Ca: 0.0000 0.2802 0.0000  6 Au 3.10
Au: 0.1660 0.1660 0.5000  4 Au 3.04-3.30, 6 Ca 3.10

Record 5
## YTm4Ni4 (PBE)

Data for a relaxed YTm4Ni4 crystal.

Calculated volume (A^3/atom): 22.16
VASP energy (eV/atom): -5.565
Spin magnetization (μB per formula unit): 0.0

a = 8.5492 Å, b = 8.5492 Å, c = 5.4580 Å
α = 90.00°, β = 90.00°, γ = 90.00°
With the nearest neighbours (Å) after each atom.
Space group P4_2/n (No. 86, origin choice 2)
Inequivalent atoms, fractional coordinates:
Y: 0.2500 0.2500 0.2500  4 Ni 2.72
Tm: 0.0723 0.6613 0.1487  5 Ni 2.68-2.91
Ni: 0.0286 0.6144 0.6387  1 Ni 2.52, 3 Tm 2.68-2.76, 1 Y 2.72

Record 6
## Tc4SbPt (PBE)

Data for a relaxed Tc4SbPt crystal.

Calculated volume (A^3/atom): 16.48
VASP energy (eV/atom): -8.141
Spin magnetization (μB per formula unit): 0.0
ΔE_f (raw) (eV per atom): 0.46

a = 7.3401 Å, b = 7.3401 Å, c = 7.3401 Å
α = 90.00°, β = 90.00°, γ = 90.00°
With the nearest neighbours (Å) after each atom.
Space group F-43m (No. 216)
Inequivalent atoms, fractional coordinates:
Tc: 0.1229 0.1229 0.1229  6 Tc 2.55-2.64
Sb: 0.0000 0.0000 0.5000  12 Tc 3.05, 4 Pt 3.18
Pt: 0.2500 0.2500 0.7500  12 Tc 3.04, 4 Sb 3.18

Record 7
## CuAs (PBE)

Data for a relaxed CuAs crystal.

Calculated volume (A^3/atom): 16.28
VASP energy (eV/atom): -4.206
Spin magnetization (μB per formula unit): 0.0

a = 5.0692 Å, b = 5.0692 Å, c = 5.0692 Å
α = 90.00°, β = 90.00°, γ = 90.00°
With the nearest neighbours (Å) after each atom.
Space group Fm-3m (No. 225)
Inequivalent atoms, fractional coordinates:
Cu: 0.0000 0.0000 0.0000  6 As 2.53
As: 0.0000 0.0000 0.5000  6 Cu 2.53

Record 8
## NaCeAlO4 (PBE)

Data for a relaxed NaCeAlO4 crystal.

Calculated volume (A^3/atom): 13.93
VASP energy (eV/atom): -7.243
Spin magnetization (μB per formula unit): 0.0
ΔE_f (raw) (eV per atom): -2.84

a = 5.8703 Å, b = 9.0870 Å, c = 7.3118 Å
α = 90.00°, β = 90.00°, γ = 90.00°
With the nearest neighbours (Å) after each atom.
Space group Cmcm (No. 63)
Inequivalent atoms, fractional coordinates:
Na: 0.0000 0.1798 0.2500  4 O 2.37-2.46
Ce: 0.0000 0.5000 0.0000  6 O 2.13-2.38
Al: 0.0000 0.1555 0.7500  4 O 1.77-1.80
O: 0.0000 0.2694 0.5537  1 Al 1.77
O: 0.2474 0.0383 0.7500  1 Al 1.80

Record 9
## Nd4SnIr (PBE)

Data for a relaxed Nd4SnIr crystal.

Calculated volume (A^3/atom): 30.05
VASP energy (eV/atom): -5.856
Spin magnetization (μB per formula unit): 0.0
Energy relative to the lowest polymorph listed for this composition (kJ/mol of atoms): 1.68

a = 9.0736 Å, b = 14.0516 Å, c = 6.1819 Å
α = 90.00°, β = 113.81°, γ = 90.00°
With the nearest neighbours (Å) after each atom.
Space group C2/c (No. 15)
Inequivalent atoms, fractional coordinates:
Nd: 0.1139 0.1772 0.0710  2 Ir 3.08, 2 Sn 3.30-3.32
Nd: 0.2171 0.4298 0.3394  2 Ir 2.96-3.00, 1 Sn 3.30
Sn: 0.0000 0.3743 0.7500  8 Nd 3.30-3.46
Ir: 0.0000 0.0008 0.7500  8 Nd 2.96-3.08, 2 Ir 3.09

Record 10
## Rb2MgBeP2 (PBE)

Data for a relaxed Rb2MgBeP2 crystal.

Calculated volume (A^3/atom): 25.14
VASP energy (eV/atom): -3.447
Spin magnetization (μB per formula unit): 0.0

a = 6.0064 Å, b = 16.6947 Å, c = 6.0180 Å
α = 90.00°, β = 90.00°, γ = 90.00°
With the nearest neighbours (Å) after each atom.
Space group Ibam (No. 72)
Inequivalent atoms, fractional coordinates:
Rb: 0.2479 0.1682 0.0000  4 P 3.21-3.55, 2 Mg 3.52, 2 Be 3.53
Mg: 0.0000 0.0000 0.2500  4 P 2.60
Be: 0.0000 0.5000 0.2500  4 P 2.36
P: 0.2166 0.4244 0.0000  2 Be 2.36, 2 Mg 2.60

Record 11
## Pa4NiP5 (PBE)

Data for a relaxed Pa4NiP5 crystal.

Calculated volume (A^3/atom): 20.03
VASP energy (eV/atom): -8.139
Spin magnetization (μB per formula unit): 0.0

a = 3.8896 Å, b = 3.8896 Å, c = 45.8526 Å
α = 90.00°, β = 90.00°, γ = 120.00°
With the nearest neighbours (Å) after each atom.
Space group R-3m (No. 166, hexagonal axes)
Inequivalent atoms, fractional coordinates:
Pa: 0.0000 0.0000 0.1098  6 P 2.74-2.80
Pa: 0.0000 0.0000 0.2967  6 P 2.80-2.81
Ni: 0.0000 0.0000 0.5000  6 P 2.48
P: 0.0000 0.0000 0.0000  6 Pa 2.81
P: 0.0000 0.0000 0.1894  3 Ni 2.48, 3 Pa 2.74
P: 0.0000 0.0000 0.4065  6 Pa 2.80

Record 12
## TaAlCoCu (PBE)

Data for a relaxed TaAlCoCu crystal.

Calculated volume (A^3/atom): 13.57
VASP energy (eV/atom): -6.983
Spin magnetization (μB per formula unit): 0.0

a = 6.0110 Å, b = 6.0110 Å, c = 6.0110 Å
α = 90.00°, β = 90.00°, γ = 90.00°
With the nearest neighbours (Å) after each atom.
Space group F-43m (No. 216)
Inequivalent atoms, fractional coordinates:
Ta: 0.0000 0.0000 0.0000  4 Co 2.60, 4 Cu 2.60
Al: 0.0000 0.0000 0.5000  4 Cu 2.60, 4 Co 2.60
Co: 0.2500 0.2500 0.2500  4 Al 2.60, 4 Ta 2.60
Cu: 0.2500 0.2500 0.7500  4 Ta 2.60, 4 Al 2.60